Record 1
# Te2RhPb

A relaxed structure of Te2RhPb (PBE-GGA, Alexandria).

For the uncorrected formation energy, the calculation gives -255 meV/atom. The value obtained for the density of states at the Fermi level is 8.04 states/eV per cell.

The space group is R3m (No. 160, hexagonal axes) and the conventional cell measures 4.0630, 4.0630 and 22.5526 Å, with angles of 90.00, 90.00 and 120.00 degrees. The asymmetric unit holds Te at (0.0000, 0.0000, 0.0000), Te at (0.0000, 0.0000, 0.2135), Rh at (0.0000, 0.0000, 0.6053) and Pb at (0.0000, 0.0000, 0.4442).

---

Record 2
# EuTlAg

A relaxed structure of EuTlAg (PBE-GGA, Alexandria).

The energy above the most stable polymorph in this dataset is 54.5 kJ/mol of atoms. The value obtained for the density of states at the Fermi level is 3.25 states/eV per cell.

The space group is I4mm (No. 107) and the conventional cell measures 3.580, 3.580 and 15.691 Å, with angles of 90.00, 90.00 and 90.00 degrees. The asymmetric unit holds Eu at (0.000, 0.000, 0.000), Tl at (0.000, 0.000, 0.208) and Ag at (0.000, 0.000, 0.808).

---

Record 3
# Pu3Cd2Pd3

A relaxed structure of Pu3Cd2Pd3 (PBE-GGA, Alexandria).

The value obtained for the density of states at the Fermi level is 51.14 states/eV per cell.

The space group is Immm (No. 71) and the conventional cell measures 3.038, 5.302 and 21.626 Å, with angles of 90.00, 90.00 and 90.00 degrees. The asymmetric unit holds Pu at (0.000, 0.000, 0.000), Pu at (0.000, 0.500, 0.123), Cd at (0.000, 0.000, 0.232), Pd at (0.000, 0.000, 0.500) and Pd at (0.000, 0.500, 0.379).

---

no.,raw total energy (eV/f.u.),calculated density (Mg/m³),calculated volume (Å³/atom)
1,-18.36,8.73,26.9
2,-14.72,7.67,33.5
3,-62.84,12.17,21.8